A plane-wave DFT calculation with GGA-PBE was carried out for an optimized crystal structure of SrNbTe2.

## Properties
E_tot: -17.12 eV for the cell shown
volume: 28.35 Å³ per atom

Cell lengths 5.4333, 5.4333, 5.4333 Å; angles 60.00, 60.00, 60.00 degrees
Closest atoms and distances in Å follow each position.
Atoms (fractional coordinates):
Sr 0.0000 0.0000 0.0000  4 Nb 3.33, 4 Te 3.33
Nb 0.7500 0.7500 0.7500  4 Sr 3.33, 4 Te 3.33
Te 0.2500 0.2500 0.2500  4 Te 3.33, 4 Sr 3.33
Te 0.5000 0.5000 0.5000  4 Nb 3.33, 4 Te 3.33



A plane-wave DFT calculation with GGA-PBE was carried out for an optimized crystal structure of LaY2Ga2Pd4.

## Properties
E_tot: -52.27 eV for the cell shown
volume: 21.29 Å³ per atom

Cell lengths 5.5640, 5.5640, 8.6240 Å; angles 96.29, 96.29, 46.29 degrees
Closest atoms and distances in Å follow each position.
Atoms (fractional coordinates):
La 0.0000 0.0000 0.0000  8 Pd 3.06-3.38
Y 0.3752 0.3752 0.6111  6 Pd 2.85-3.09
Y 0.6248 0.6248 0.3889  6 Pd 2.85-3.09
Ga 0.3207 0.3207 0.2240  5 Pd 2.62-2.70
Ga 0.6793 0.6793 0.7760  5 Pd 2.62-2.70
Pd 0.0862 0.0862 0.6332  2 Ga 2.63, 2 Pd 2.72-2.90
Pd 0.2797 0.2797 0.9085  3 Ga 2.62-2.70, 3 Pd 2.81-2.90, 1 Y 2.85
Pd 0.7203 0.7203 0.0915  3 Ga 2.62-2.70, 3 Pd 2.81-2.90, 1 Y 2.85
Pd 0.9138 0.9138 0.3668  2 Ga 2.63, 2 Pd 2.72-2.90



A plane-wave DFT calculation with GGA-PBE was carried out for an optimized crystal structure of ReC2.

## Properties
energy above the lowest structure with this stoichiometry: 2482 meV/atom
volume: 9.41 Å³ per atom

Cell lengths 4.3067, 4.3067, 4.3067 Å; angles 60.00, 60.00, 60.00 degrees
Closest atoms and distances in Å follow each position.
Atoms (fractional coordinates):
Re 0.1250 0.1250 0.1250  12 C 2.53, 4 Re 2.64
Re 0.8750 0.8750 0.8750  12 C 2.53, 4 Re 2.64
C 0.0000 0.5000 0.5000  6 C 2.15
C 0.5000 0.0000 0.5000  6 C 2.15
C 0.5000 0.5000 0.0000  6 C 2.15
C 0.5000 0.5000 0.5000  6 C 2.15



A plane-wave DFT calculation with GGA-PBE was carried out for an optimized crystal structure of NbAgS2.

## Properties
E_tot: -23.69 eV for the cell shown
volume: 18.62 Å³ per atom

Cell lengths 3.3060, 3.3060, 7.8670 Å; angles 90.04, 90.04, 60.00 degrees
Closest atoms and distances in Å follow each position.
Atoms (fractional coordinates):
Nb 0.0000 0.0000 0.0000  6 S 2.49-2.53
Ag 0.3346 0.3346 0.4830  1 S 2.47
S 0.3331 0.3331 0.7975  1 Ag 2.47, 3 Nb 2.49
S 0.6669 0.6669 0.2102  3 Nb 2.53



A plane-wave DFT calculation with GGA-PBE was carried out for an optimized crystal structure of HfInW.

## Properties
energy above the lowest structure with this stoichiometry: 0 meV/atom
volume: 23.41 Å³ per atom

Cell lengths 4.6310, 4.6310, 4.6310 Å; angles 60.00, 60.00, 60.00 degrees
Closest atoms and distances in Å follow each position.
Atoms (fractional coordinates):
Hf 0.0000 0.0000 0.0000  4 W 2.84
In 0.5000 0.5000 0.5000  4 W 2.84
W 0.2500 0.2500 0.2500  4 Hf 2.84, 4 In 2.84



A plane-wave DFT calculation with GGA-PBE was carried out for an optimized crystal structure of NaPmSb.

## Properties
energy above the lowest structure with this stoichiometry: 0 meV/atom
volume: 32.21 Å³ per atom

Cell lengths 5.1509, 5.1509, 5.1509 Å; angles 60.00, 60.00, 60.00 degrees
Closest atoms and distances in Å follow each position.
Atoms (fractional coordinates):
Na 0.0000 0.0000 0.0000  4 Sb 3.15
Pm 0.5000 0.5000 0.5000  4 Sb 3.15
Sb 0.2500 0.2500 0.2500  4 Pm 3.15, 4 Na 3.15



A plane-wave DFT calculation with GGA-PBE was carried out for an optimized crystal structure of KOsPd.

## Properties
energy above the lowest structure with this stoichiometry: 742 meV/atom
volume: 24.88 Å³ per atom

Cell lengths 4.7263, 4.7263, 4.7263 Å; angles 60.00, 60.00, 60.00 degrees
Closest atoms and distances in Å follow each position.
Atoms (fractional coordinates):
K 0.0000 0.0000 0.0000  4 Os 2.89, 4 Pd 2.89
Os 0.7500 0.7500 0.7500  4 K 2.89
Pd 0.2500 0.2500 0.2500  4 K 2.89



A plane-wave DFT calculation with GGA-PBE was carried out for an optimized crystal structure of LaTmRe.

## Properties
energy above the lowest structure with this stoichiometry: 0 meV/atom
energy of formation from the pure elements: 1018 meV/atom
volume: 26.27 Å³ per atom

Cell lengths 4.8123, 4.8123, 4.8123 Å; angles 60.00, 60.00, 60.00 degrees
Closest atoms and distances in Å follow each position.
Atoms (fractional coordinates):
La 0.0000 0.0000 0.0000  4 Tm 2.95
Tm 0.2500 0.2500 0.2500  4 La 2.95, 4 Re 2.95
Re 0.5000 0.5000 0.5000  4 Tm 2.95



A plane-wave DFT calculation with GGA-PBE was carried out for an optimized crystal structure of Cu2Ag3.

## Properties
energy above the lowest structure with this stoichiometry: 46 meV/atom
energy of formation from the pure elements: 78 meV/atom
volume: 15.55 Å³ per atom

Cell lengths 2.8566, 3.6815, 14.7900 Å; angles 90.00, 90.00, 90.00 degrees
Closest atoms and distances in Å follow each position.
Atoms (fractional coordinates):
Cu 0.0000 0.0000 0.0000  5 Cu 2.46-2.64, 4 Ag 2.73
Cu 0.0000 0.0000 0.1664  5 Cu 2.46-2.63, 4 Ag 2.73
Cu 0.5000 0.5000 0.0834  10 Cu 2.63-2.86, 2 Ag 2.65-2.66
Cu 0.5000 0.5000 0.6957  8 Ag 2.73-2.74, 2 Cu 2.86
Ag 0.0000 0.0000 0.3739  10 Ag 2.85-2.86, 1 Cu 3.07
Ag 0.0000 0.0000 0.5986  4 Cu 2.74, 7 Ag 2.86-2.87
Ag 0.0000 0.0000 0.7917  4 Cu 2.73, 7 Ag 2.86
Ag 0.5000 0.5000 0.2628  5 Cu 2.65-2.73, 6 Ag 2.85-2.86
Ag 0.5000 0.5000 0.4859  10 Ag 2.86-2.87, 1 Cu 3.10
Ag 0.5000 0.5000 0.9034  5 Cu 2.66-2.73, 6 Ag 2.86



A plane-wave DFT calculation with GGA-PBE was carried out for an optimized crystal structure of LiZnFeB.

## Properties
energy above the lowest structure with this stoichiometry: 0 meV/atom
volume: 9.52 Å³ per atom

Cell lengths 3.7769, 3.7769, 3.7769 Å; angles 60.00, 60.00, 60.00 degrees
Closest atoms and distances in Å follow each position.
Atoms (fractional coordinates):
Li 0.0000 0.0000 0.0000  4 Fe 2.31, 4 Zn 2.31
Zn 0.7500 0.7500 0.7500  4 B 2.31, 4 Li 2.31
Fe 0.2500 0.2500 0.2500  4 Li 2.31, 4 B 2.31
B 0.5000 0.5000 0.5000  4 Fe 2.31, 4 Zn 2.31



A plane-wave DFT calculation with GGA-PBE was carried out for an optimized crystal structure of BaHgBi.

## Properties
E_tot: -7.93 eV for the cell shown
volume: 38.42 Å³ per atom

Cell lengths 5.4625, 5.4625, 5.4625 Å; angles 60.00, 60.00, 60.00 degrees
Closest atoms and distances in Å follow each position.
Atoms (fractional coordinates):
Ba 0.0000 0.0000 0.0000  4 Hg 3.35
Hg 0.2500 0.2500 0.2500  4 Ba 3.35, 4 Bi 3.35
Bi 0.5000 0.5000 0.5000  4 Hg 3.35



A plane-wave DFT calculation with GGA-PBE was carried out for an optimized crystal structure of BaPrO3.

## Properties
E_tot: -32.75 eV for the cell shown
volume: 19.66 Å³ per atom

Cell lengths 3.9933, 3.9933, 6.1656 Å; angles 90.00, 90.00, 90.00 degrees
Closest atoms and distances in Å follow each position.
Atoms (fractional coordinates):
Ba 0.0000 0.0000 0.0000  5 O 2.47
Pr 0.5000 0.5000 0.4288  4 O 2.32
O 0.0000 0.0000 0.6001  1 Ba 2.47
O 0.0000 0.5000 0.2361  2 Pr 2.32, 2 Ba 2.47
O 0.5000 0.0000 0.2361  2 Pr 2.32, 2 Ba 2.47



A plane-wave DFT calculation with GGA-PBE was carried out for an optimized crystal structure of RbZrAgTeSe2.

## Properties
energy above the lowest structure with this stoichiometry: 65 meV/atom
volume: 29.77 Å³ per atom

Cell lengths 8.3567, 8.3567, 10.9291 Å; angles 90.00, 90.00, 152.09 degrees
Closest atoms and distances in Å follow each position.
Atoms (fractional coordinates):
Rb 0.2338 0.7662 0.7500  6 Se 3.62-4.02, 2 Te 3.65, 2 Ag 3.75, 2 Rb 4.03
Rb 0.7662 0.2338 0.2500  6 Se 3.62-4.02, 2 Te 3.65, 2 Ag 3.75, 2 Rb 4.03
Zr 0.0000 0.0000 0.0000  4 Se 2.77, 2 Te 3.01
Zr 0.0000 0.0000 0.5000  4 Se 2.77, 2 Te 3.01
Ag 0.4611 0.5389 0.2500  2 Se 2.59, 2 Te 2.77
Ag 0.5389 0.4611 0.7500  2 Se 2.59, 2 Te 2.77
Te 0.0784 0.9216 0.2500  2 Ag 2.77, 2 Zr 3.01
Te 0.9216 0.0784 0.7500  2 Ag 2.77, 2 Zr 3.01
Se 0.3864 0.6136 0.0403  1 Ag 2.59, 2 Zr 2.77
Se 0.3864 0.6136 0.4597  1 Ag 2.59, 2 Zr 2.77
Se 0.6136 0.3864 0.5403  1 Ag 2.59, 2 Zr 2.77
Se 0.6136 0.3864 0.9597  1 Ag 2.59, 2 Zr 2.77



A plane-wave DFT calculation with GGA-PBE was carried out for an optimized crystal structure of NdYCd.

## Properties
energy of formation from the pure elements: 440 meV/atom
volume: 31.12 Å³ per atom

Cell lengths 5.0922, 5.0922, 5.0922 Å; angles 60.00, 60.00, 60.00 degrees
Closest atoms and distances in Å follow each position.
Atoms (fractional coordinates):
Nd 0.0000 0.0000 0.0000  4 Y 3.12
Y 0.7500 0.7500 0.7500  4 Cd 3.12, 4 Nd 3.12
Cd 0.5000 0.5000 0.5000  4 Y 3.12



A plane-wave DFT calculation with GGA-PBE was carried out for an optimized crystal structure of Cu2Ag3.

## Properties
energy above the lowest structure with this stoichiometry: 40 meV/atom
energy of formation from the pure elements: 72 meV/atom
volume: 15.49 Å³ per atom

Cell lengths 4.9920, 4.9920, 11.3716 Å; angles 97.23, 97.23, 33.46 degrees
Closest atoms and distances in Å follow each position.
Atoms (fractional coordinates):
Cu 0.0645 0.0645 0.3578  2 Cu 2.52, 7 Ag 2.71-2.81
Cu 0.2718 0.2718 0.7443  2 Cu 2.52, 6 Ag 2.69-2.73
Cu 0.7282 0.7282 0.2557  2 Cu 2.52, 6 Ag 2.69-2.73
Cu 0.9355 0.9355 0.6422  2 Cu 2.52, 7 Ag 2.71-2.81
Ag 0.1448 0.1448 0.0549  2 Cu 2.73, 10 Ag 2.87-2.97
Ag 0.3549 0.3549 0.4402  7 Cu 2.69-2.81, 5 Ag 2.87-2.94
Ag 0.4367 0.4367 0.1723  5 Cu 2.71-2.82, 7 Ag 2.87-2.97
Ag 0.5633 0.5633 0.8277  5 Cu 2.71-2.82, 7 Ag 2.87-2.97
Ag 0.6451 0.6451 0.5598  7 Cu 2.69-2.81, 5 Ag 2.87-2.94
Ag 0.8552 0.8552 0.9451  2 Cu 2.73, 10 Ag 2.87-2.97



A plane-wave DFT calculation with GGA-PBE was carried out for an optimized crystal structure of Y3Er2Lu2Ni2Te2.

## Properties
energy above the lowest structure with this stoichiometry: 8 meV/atom
volume: 25.68 Å³ per atom

Cell lengths 9.2829, 9.2829, 9.2829 Å; angles 156.06, 66.78, 118.71 degrees
Closest atoms and distances in Å follow each position.
Atoms (fractional coordinates):
Y 0.0000 0.0000 0.0000  3 Te 3.18-3.24
Y 0.6186 0.2658 0.3529  2 Ni 2.87, 2 Te 3.16
Y 0.9129 0.2658 0.6471  2 Ni 2.87, 2 Te 3.16
Er 0.3053 0.6200 0.6852  2 Ni 2.78
Er 0.9348 0.6200 0.3148  2 Ni 2.78
Lu 0.2810 0.4152 0.8658  2 Ni 2.73
Lu 0.5494 0.4152 0.1342  2 Ni 2.73
Ni 0.1704 0.9293 0.2411  2 Lu 2.73, 2 Er 2.78, 2 Y 2.87
Ni 0.6882 0.9293 0.7589  2 Lu 2.73, 2 Er 2.78, 2 Y 2.87
Te 0.2673 0.7673 0.5000  4 Lu 3.16, 2 Y 3.18, 2 Er 3.19
Te 0.6577 0.6577 0.0000  2 Lu 3.10, 5 Y 3.16-3.24



A plane-wave DFT calculation with GGA-PBE was carried out for an optimized crystal structure of ErMgAuS3.

## Properties
E_tot: -56.85 eV for the cell shown
volume: 20.29 Å³ per atom

Cell lengths 6.5423, 6.5423, 10.4484 Å; angles 90.00, 90.00, 147.01 degrees
Closest atoms and distances in Å follow each position.
Atoms (fractional coordinates):
Er 0.0000 0.0000 0.0000  6 S 2.72-3.02
Er 0.0000 0.0000 0.5000  6 S 2.72-3.02
Mg 0.2300 0.7700 0.7500  6 S 2.64-2.85
Mg 0.7700 0.2300 0.2500  6 S 2.64-2.85
Au 0.4765 0.5235 0.2500  4 S 2.46-2.59
Au 0.5235 0.4765 0.7500  4 S 2.46-2.59
S 0.1204 0.8796 0.2500  2 Au 2.59, 2 Mg 2.64
S 0.3524 0.6476 0.0682  1 Au 2.46, 2 Er 2.72
S 0.3524 0.6476 0.4318  1 Au 2.46, 2 Er 2.72
S 0.6476 0.3524 0.5682  1 Au 2.46, 2 Er 2.72
S 0.6476 0.3524 0.9318  1 Au 2.46, 2 Er 2.72
S 0.8796 0.1204 0.7500  2 Au 2.59, 2 Mg 2.64



A plane-wave DFT calculation with GGA-PBE was carried out for an optimized crystal structure of InAgTe2IrSe.

## Properties
E_tot: -49.44 eV for the cell shown
volume: 24.86 Å³ per atom

Cell lengths 6.8719, 6.8719, 11.2009 Å; angles 90.00, 90.00, 145.66 degrees
Closest atoms and distances in Å follow each position.
Atoms (fractional coordinates):
In 0.1530 0.8470 0.7500  2 Se 2.77, 2 Te 2.96, 2 Ag 2.97
In 0.8470 0.1530 0.2500  2 Se 2.77, 2 Te 2.96, 2 Ag 2.97
Ag 0.1820 0.8180 0.2500  2 Te 2.75, 2 In 2.97
Ag 0.8180 0.1820 0.7500  2 Te 2.75, 2 In 2.97
Te 0.1295 0.8705 0.0127  2 Ir 2.65, 1 Ag 2.75, 1 In 2.96
Te 0.1295 0.8705 0.4873  2 Ir 2.65, 1 Ag 2.75, 1 In 2.96
Te 0.8705 0.1295 0.5127  2 Ir 2.65, 1 Ag 2.75, 1 In 2.96
Te 0.8705 0.1295 0.9873  2 Ir 2.65, 1 Ag 2.75, 1 In 2.96
Ir 0.5000 0.5000 0.0000  4 Te 2.65, 2 Se 2.80
Ir 0.5000 0.5000 0.5000  4 Te 2.65, 2 Se 2.80
Se 0.4912 0.5088 0.2500  2 In 2.77, 2 Ir 2.80
Se 0.5088 0.4912 0.7500  2 In 2.77, 2 Ir 2.80



A plane-wave DFT calculation with GGA-PBE was carried out for an optimized crystal structure of Na4AlPbAu2.

## Properties
E_tot: -20.71 eV for the cell shown
volume: 21.24 Å³ per atom

Cell lengths 4.8556, 4.8556, 7.2068 Å; angles 90.00, 90.00, 90.00 degrees
Closest atoms and distances in Å follow each position.
Atoms (fractional coordinates):
Na 0.0000 0.0000 0.0000  4 Na 3.08, 4 Au 3.17, 4 Pb 3.43
Na 0.0000 0.5000 0.7363  4 Na 2.97-3.08, 2 Al 2.97, 2 Pb 3.08, 1 Au 3.26
Na 0.5000 0.0000 0.2637  4 Na 2.97-3.08, 2 Al 2.97, 2 Pb 3.08, 1 Au 3.26
Na 0.5000 0.5000 0.5000  4 Au 2.89, 4 Na 2.97
Al 0.0000 0.0000 0.5000  4 Au 2.89, 4 Na 2.97
Pb 0.5000 0.5000 0.0000  8 Na 3.08-3.43, 4 Au 3.17
Au 0.0000 0.5000 0.2833  4 Na 2.89-3.17, 2 Al 2.89, 2 Pb 3.17
Au 0.5000 0.0000 0.7167  4 Na 2.89-3.17, 2 Al 2.89, 2 Pb 3.17



A plane-wave DFT calculation with GGA-PBE was carried out for an optimized crystal structure of LaSm2Nb2N6.

## Properties
E_tot: -98.31 eV for the cell shown
volume: 14.76 Å³ per atom

Cell lengths 10.2200, 10.2200, 10.2200 Å; angles 157.04, 157.04, 32.70 degrees
Closest atoms and distances in Å follow each position.
Atoms (fractional coordinates):
La 0.0000 0.0000 0.0000  8 N 2.65
Sm 0.1784 0.1784 0.0000  1 N 2.32
Sm 0.8216 0.8216 0.0000  1 N 2.32
Nb 0.3956 0.3956 0.0000  5 N 1.94-2.06
Nb 0.6044 0.6044 0.0000  5 N 1.94-2.06
N 0.0866 0.5866 0.5000  2 Nb 2.06
N 0.2968 0.2968 0.0000  1 Nb 1.94
N 0.4134 0.9134 0.5000  2 Nb 2.06
N 0.5866 0.0866 0.5000  2 Nb 2.06
N 0.7032 0.7032 0.0000  1 Nb 1.94
N 0.9134 0.4134 0.5000  2 Nb 2.06